(1)
Here is TlGaGeO4 after structural relaxation from Alexandria. Energies are from PBE.

Structure (extended XYZ):
```
14
Lattice="-4.3004 2.9018 -1.3783 -2.8762 -2.3274 4.0737 6.4921 2.7219 6.1387" Properties=species:S:1:pos:R:3 pbc="T T T"
Tl 0.8542 2.3490 7.5207
Tl -1.5387 0.9474 1.3134
Ga -2.4989 1.8716 4.8806
Ga 1.8144 1.4247 3.9535
Ge -0.6612 -0.1701 5.0116
Ge -0.0232 3.4664 3.8225
O 2.6194 0.7607 5.8932
O -4.6585 1.4394 4.8596
O -3.3039 2.5356 2.9409
O 3.9741 1.8569 3.9746
O -2.1521 0.0421 4.0802
O 1.4677 3.2542 4.7539
O -0.7624 1.4016 5.8381
O 0.0779 1.8947 2.9960
```

## Properties
- SG: No. 11
- Formation energy without anion corrections: -1.406 eV per atom
- V: 227.1 Å³/cell

=====

(2)
Here is SmDy2Bi2Te2 after structural relaxation from Alexandria. Energies are from PBE.

Structure (extended XYZ):
```
7
Lattice="5.9563 0.0000 0.0000 0.0000 5.9563 0.0000 -2.9782 -2.9782 7.6181" Properties=species:S:1:pos:R:3 pbc="T T T"
Sm 0.0000 0.0000 0.0000
Dy 0.0000 0.0000 5.9065
Dy 2.9782 2.9782 1.7116
Bi 0.0000 2.9782 0.0000
Bi 2.9782 0.0000 0.0000
Te 0.0000 0.0000 3.0588
Te 2.9782 2.9782 4.5593
```

## Properties
- SG: No. 139
- Formation energy without anion corrections: -0.496 eV per atom
- V: 270.3 Å³/cell

=====

(3)
Here is SnCl2F after structural relaxation from Alexandria. Energies are from PBE.

Structure (extended XYZ):
```
4
Lattice="2.7424 2.9408 6.8566 2.1930 -1.3467 7.5206 5.7696 0.1072 5.4664" Properties=species:S:1:pos:R:3 pbc="T T T"
F 0.0000 0.0000 0.0000
Sn 5.3526 0.8506 9.9218
Cl 9.5835 1.5230 17.7645
Cl 1.1216 0.1782 2.0790
```

## Properties
- SG: No. 166
- Formation energy without anion corrections: -0.634 eV per atom
- V: 124.8 Å³/cell

=====

(4)
Here is MnOs3Rh after structural relaxation from Alexandria. Energies are from PBE.

Structure (extended XYZ):
```
5
Lattice="4.3680 0.0000 0.0000 0.0000 4.3680 0.0000 0.0000 0.0000 4.3680" Properties=species:S:1:pos:R:3 pbc="T T T"
Rh 2.1840 2.1840 2.1840
Mn 0.0000 0.0000 0.0000
Os 0.0000 2.1840 0.0000
Os 0.0000 0.0000 2.1840
Os 2.1840 0.0000 0.0000
```

## Properties
- SG: No. 221
- ΔE_f: 1724 meV per atom
- V: 83.3 Å³/cell

=====

(5)
Here is BaTaOs after structural relaxation from Alexandria. Energies are from PBE.

Structure (extended XYZ):
```
3
Lattice="6.9985 0.0267 -0.0162 5.3190 4.5483 0.0162 -6.1041 -2.4347 2.4067" Properties=species:S:1:pos:R:3 pbc="T T T"
Os 8.7291 3.2422 0.0000
Ba 0.1054 0.0392 0.0000
Ta 3.4830 1.2937 0.0000
```

## Properties
- SG: No. 44
- ΔE_f: 426 meV per atom
- V: 76.3 Å³/cell

=====

(6)
Here is HgSbTe2Ru after structural relaxation from Alexandria. Energies are from PBE.

Structure (extended XYZ):
```
5
Lattice="-1.0421 1.3708 5.0907 2.1942 -4.6056 1.6893 4.4856 2.2514 0.3119" Properties=species:S:1:pos:R:3 pbc="T T T"
Sb 2.2428 1.1257 0.1560
Te 1.0971 -2.3028 0.8447
Te -0.5210 0.6854 2.5453
Hg 2.8188 -0.4917 3.5460
Ru 0.0000 0.0000 0.0000
```

## Properties
- SG: No. 123
- Formation energy without anion corrections: 0.400 eV per atom
- V: 145.2 Å³/cell

=====

no.,calculated total energy (eV per atom)
1,-5.67
2,-4.49
3,-3.03
4,-8.32
5,-7.91
6,-3.60